Entry 1:
A relaxed HgMo2 crystal. Source: Alexandria, functional PBE.

```
data_HgMo2
_chemical_formula_sum 'Hg1 Mo2'
_cell_length_a 4.6728
_cell_length_b 4.6728
_cell_length_c 2.8736
_cell_angle_alpha 90.00
_cell_angle_beta 90.00
_cell_angle_gamma 90.00
_symmetry_space_group_name_H-M 'P 4/m m m'
_symmetry_Int_Tables_number 123
_symmetry_space_group_name_Hall '-P 4 2'
loop_
_atom_site_label
_atom_site_fract_x
_atom_site_fract_y
_atom_site_fract_z
Hg1 0.0000 0.0000 0.0000
Mo1 0.0000 0.5000 0.5000
```

Computed properties:
energy of formation = 1.7176 eV/atom
E above lowest polymorph = 1314 meV/atom
crystal system = tetragonal

---

Entry 2:
A relaxed ReNiSb crystal. Source: Alexandria, functional PBE.

```
data_ReNiSb
_chemical_formula_sum 'Re1 Ni1 Sb1'
_cell_length_a 4.3263
_cell_length_b 4.3263
_cell_length_c 2.8737
_cell_angle_alpha 90.00
_cell_angle_beta 90.00
_cell_angle_gamma 120.00
_symmetry_space_group_name_H-M 'P 3 m 1'
_symmetry_Int_Tables_number 156
loop_
_symmetry_equiv_pos_as_xyz
'x,y,z'
'-y,x-y,z'
'-x+y,-x,z'
'-y,-x,z'
'-x+y,y,z'
'x,x-y,z'
loop_
_atom_site_label
_atom_site_fract_x
_atom_site_fract_y
_atom_site_fract_z
Re1 0.0000 0.0000 0.0000
Ni1 0.3333 0.6667 0.5074
Sb1 0.6667 0.3333 0.4653
```

Computed properties:
energy relative to the elements, uncorrected = 1.57 eV/f.u.
E above lowest polymorph = 62 meV/atom
crystal system = trigonal

---

Entry 3:
A relaxed MnIrBr2 crystal. Source: Alexandria, functional PBE.

```
data_MnIrBr2
_chemical_formula_sum 'Mn2 Ir2 Br4'
_cell_length_a 3.1724
_cell_length_b 5.9650
_cell_length_c 8.4619
_cell_angle_alpha 90.00
_cell_angle_beta 90.00
_cell_angle_gamma 90.00
_symmetry_space_group_name_H-M 'C m m m'
_symmetry_Int_Tables_number 65
_symmetry_space_group_name_Hall '-C 2 2'
loop_
_atom_site_label
_atom_site_fract_x
_atom_site_fract_y
_atom_site_fract_z
Mn1 0.0000 0.0000 0.0000
Ir1 0.0000 0.0000 0.5000
Br1 0.0000 0.5000 0.2379
```

Computed properties:
energy relative to the elements, uncorrected = 3.02 eV/f.u.
E above lowest polymorph = 690 meV/atom
crystal system = orthorhombic

---

Entry 4:
A relaxed FeMo2As crystal. Source: Alexandria, functional PBE.

```
data_FeMo2As
_chemical_formula_sum 'Fe3 Mo6 As3'
_cell_length_a 2.8547
_cell_length_b 2.8547
_cell_length_c 25.1537
_cell_angle_alpha 90.00
_cell_angle_beta 90.00
_cell_angle_gamma 120.00
_symmetry_space_group_name_H-M 'R 3 m'
_symmetry_Int_Tables_number 160
_symmetry_space_group_name_Hall 'R 3 -2"'
loop_
_atom_site_label
_atom_site_fract_x
_atom_site_fract_y
_atom_site_fract_z
Fe1 0.0000 0.0000 0.0000
Mo1 0.0000 0.0000 0.5071
Mo2 0.0000 0.0000 0.7479
As1 0.0000 0.0000 0.2586
```

Computed properties:
energy of formation = 0.2839 eV/atom
crystal system = trigonal

---

Entry 5:
A relaxed Sm4Ho9Cd11 crystal. Source: Alexandria, functional PBE.

```
data_Sm4Ho9Cd11
_chemical_formula_sum 'Sm8 Ho18 Cd22'
_cell_length_a 16.0503
_cell_length_b 22.7484
_cell_length_c 3.5182
_cell_angle_alpha 90.00
_cell_angle_beta 90.00
_cell_angle_gamma 90.00
_symmetry_space_group_name_H-M 'C m m m'
_symmetry_Int_Tables_number 65
_symmetry_space_group_name_Hall '-C 2 2'
loop_
_atom_site_label
_atom_site_fract_x
_atom_site_fract_y
_atom_site_fract_z
Sm1 0.1665 0.0833 0.0000
Ho1 0.0000 0.0000 0.0000
Ho2 0.1111 0.4047 0.0000
Ho3 0.1143 0.2308 0.0000
Cd1 0.0000 0.1309 0.5000
Cd2 0.0000 0.3172 0.5000
Cd3 0.0000 0.5000 0.5000
Cd4 0.2062 0.5000 0.5000
Cd5 0.2291 0.3179 0.5000
```

Computed properties:
energy of formation = -0.2323 eV/atom
crystal system = orthorhombic

---

Entry 6:
A relaxed Be2CuPb crystal. Source: Alexandria, functional PBE.

```
data_Be2CuPb
_chemical_formula_sum 'Be2 Cu1 Pb1'
_cell_length_a 3.0951
_cell_length_b 3.4093
_cell_length_c 5.9404
_cell_angle_alpha 90.00
_cell_angle_beta 91.80
_cell_angle_gamma 90.00
_symmetry_space_group_name_H-M 'P 1 m 1'
_symmetry_Int_Tables_number 6
loop_
_symmetry_equiv_pos_as_xyz
'x,y,z'
'x,-y,z'
loop_
_atom_site_label
_atom_site_fract_x
_atom_site_fract_y
_atom_site_fract_z
Be1 0.0000 0.0000 0.0000
Be2 0.4997 0.5000 0.0186
Cu1 0.9834 0.5000 0.7453
Pb1 0.4910 0.0000 0.4223
```

Computed properties:
energy of formation = 0.4383 eV/atom
crystal system = monoclinic

---

Entry 7:
A relaxed NaNb3Ir crystal. Source: Alexandria, functional PBE.

```
data_NaNb3Ir
_chemical_formula_sum 'Na1 Nb3 Ir1'
_cell_length_a 4.9493
_cell_length_b 4.9493
_cell_length_c 4.9493
_cell_angle_alpha 90.00
_cell_angle_beta 90.00
_cell_angle_gamma 90.00
_symmetry_space_group_name_H-M 'P m -3 m'
_symmetry_Int_Tables_number 221
_symmetry_space_group_name_Hall '-P 4 2 3'
loop_
_atom_site_label
_atom_site_fract_x
_atom_site_fract_y
_atom_site_fract_z
Na1 0.0000 0.0000 0.0000
Nb1 0.0000 0.5000 0.5000
Ir1 0.5000 0.5000 0.5000
```

Computed properties:
energy of formation = 0.9637 eV/atom
E above lowest polymorph = 0 meV/atom
crystal system = cubic

---

Entry 8:
A relaxed Li2Mg3CdPb3 crystal. Source: Alexandria, functional PBE.

```
data_Li2Mg3CdPb3
_chemical_formula_sum 'Li2 Mg3 Cd1 Pb3'
_cell_length_a 8.2420
_cell_length_b 8.2420
_cell_length_c 3.6071
_cell_angle_alpha 90.00
_cell_angle_beta 90.00
_cell_angle_gamma 120.00
_symmetry_space_group_name_H-M 'P -6 2 m'
_symmetry_Int_Tables_number 189
_symmetry_space_group_name_Hall 'P -6 -2'
loop_
_atom_site_label
_atom_site_fract_x
_atom_site_fract_y
_atom_site_fract_z
Li1 0.3333 0.6667 0.0000
Mg1 0.0000 0.7218 0.0000
Cd1 0.0000 0.0000 0.5000
Pb1 0.0000 0.3899 0.5000
```

Computed properties:
energy of formation = -0.1157 eV/atom
crystal system = hexagonal